6
Lattice="2.7245 -3.7287 4.1768 -3.4811 -3.2406 4.0190 -0.4718 -6.1825 -0.5702" Properties=species:S:1:pos:R:3 comment="SbTe4W (PBE, optimized geometry)" dos_ef_per_ev_fu=5.48 vol_a3_per_cell=170.7 mass_density_g_cm3=7.94 raw_formation_energy_ev_per_atom=1.33 pbc="T T T"
Te -0.7665 -8.2063 4.7580
Te 0.9596 -6.5994 2.7653
Sb 0.0000 0.0000 0.0000
W -0.3071 -3.2880 1.9064
Te -2.1174 -6.3574 2.6870
Te -0.5325 -5.1407 5.0408